[1]
Density functional theory data (PBE) for ZrPa2Ga9 after structural relaxation.

crystal system	tetragonal
energy of formation	-0.42	eV per atom
M_tot	0.00	μB/atom
D(E_F)	10.966	states/eV/f.u.
space-group type	P4/mmm (123)

```
ZrPa2Ga9
1.0
4.2453 0.0000 0.0000
0.0000 4.2453 0.0000
0.0000 0.0000 12.6988
Zr Pa Ga
1 2 9
Direct
0.0000 0.0000 0.0000
0.0000 0.0000 0.3292
0.0000 0.0000 0.6708
0.0000 0.5000 0.1603
0.0000 0.5000 0.5000
0.0000 0.5000 0.8397
0.5000 0.0000 0.1603
0.5000 0.0000 0.5000
0.5000 0.0000 0.8397
0.5000 0.5000 0.0000
0.5000 0.5000 0.3337
0.5000 0.5000 0.6663
```

***

[2]
Density functional theory data (PBE) for Rb3Ho3MnS8 after structural relaxation.

crystal system	trigonal
energy relative to the elements, uncorrected	-1.533	eV per atom
M_tot	0.20	μB/atom
space-group type	R-3m (166)

```
Rb3Ho3MnS8
1.0
3.9163 2.2611 7.8238
-3.9163 2.2611 7.8238
0.0000 -4.5222 7.8238
Rb Ho Mn S
3 3 1 8
Direct
0.0000 0.5000 0.5000
0.5000 0.0000 0.5000
0.5000 0.5000 0.0000
0.0000 0.0000 0.5000
0.0000 0.5000 0.0000
0.5000 0.0000 0.0000
0.5000 0.5000 0.5000
0.2307 0.2307 0.2307
0.2583 0.7087 0.7087
0.2913 0.2913 0.7417
0.2913 0.7417 0.2913
0.7087 0.2583 0.7087
0.7087 0.7087 0.2583
0.7417 0.2913 0.2913
0.7693 0.7693 0.7693
```

***

[3]
Density functional theory data (PBE) for CdSn4Pb after structural relaxation.

crystal system	cubic
energy of formation	0.13	eV per atom
M_tot	0.00	μB/atom
D(E_F)	2.674	states/eV/f.u.
space-group type	F-43m (216)

```
CdSn4Pb
1.0
0.0000 4.4451 4.4451
4.4451 0.0000 4.4451
4.4451 4.4451 0.0000
Cd Sn Pb
1 4 1
Direct
0.0000 0.0000 0.0000
0.1239 0.6254 0.6254
0.6254 0.1239 0.6254
0.6254 0.6254 0.1239
0.6254 0.6254 0.6254
0.2500 0.2500 0.2500
```

***

[4]
Density functional theory data (PBE) for Pa3Sb4Ir3 after structural relaxation.

crystal system	cubic
energy relative to the elements, uncorrected	-0.797	eV per atom
M_tot	0.00	μB/atom
space-group type	I-43d (220)

```
Pa3Sb4Ir3
1.0
-4.8369 4.8369 4.8369
4.8369 -4.8369 4.8369
4.8369 4.8369 -4.8369
Pa Sb Ir
6 8 6
Direct
0.1250 0.7500 0.8750
0.2500 0.6250 0.3750
0.3750 0.2500 0.6250
0.6250 0.3750 0.2500
0.7500 0.8750 0.1250
0.8750 0.1250 0.7500
0.0000 0.3250 0.5000
0.0000 0.8250 0.5000
0.1750 0.1750 0.1750
0.3250 0.5000 0.0000
0.5000 0.0000 0.3250
0.5000 0.0000 0.8250
0.6750 0.6750 0.6750
0.8250 0.5000 0.0000
0.1250 0.8750 0.2500
0.2500 0.1250 0.8750
0.3750 0.6250 0.7500
0.6250 0.7500 0.3750
0.7500 0.3750 0.6250
0.8750 0.2500 0.1250
```